18
Lattice="4.8226 0.0000 0.0000 0.0000 4.8226 0.0000 0.0000 0.0000 9.5937" Properties=species:S:1:pos:R:3 comment="PBE with a Hubbard U ThCoGeO6, optimized geometry" crystal_system=tetragonal energy_ev_per_atom=-7.025 n_ef_per_ev_cell=10.1 pbc="T T T"
O 0.8262 3.9964 1.6566
O 1.3355 1.3355 3.3417
O 3.4239 3.4239 9.3606
O 3.4871 3.4871 3.3417
O 3.9964 0.8262 1.6566
O 1.5851 1.5851 6.4535
O 1.3987 1.3987 9.3606
O 3.2375 3.2375 6.4535
O 1.0126 3.8100 4.5637
O 3.7468 1.0758 8.1385
O 1.0758 3.7468 8.1385
O 3.8100 1.0126 4.5637
Th 0.0000 0.0000 6.4314
Th 2.4113 2.4113 1.6346
Ge 2.4113 2.4113 7.9982
Ge 0.0000 0.0000 3.2013
Co 0.0000 0.0000 0.0245
Co 2.4113 2.4113 4.8213